Entry 1:
An optimized crystal structure of Nb3InS. Source: the Alexandria database, functional GGA-PBEsol.

Unit cell a=4.988 b=4.988 c=4.988 alpha=90.00 beta=90.00 gamma=90.00
Fractional coordinates of all 5 atoms:
Nb 0.000 0.500 0.000
Nb 0.000 0.000 0.500
Nb 0.500 0.000 0.000
S 0.500 0.500 0.500
In 0.000 0.000 0.000

## Properties
**Formation energy from raw total energies**: 2.11 eV per atom
**ρ**: 5.70 g/cm3


Entry 2:
An optimized crystal structure of NbInS2. Source: the Alexandria database, functional GGA-PBEsol.

Unit cell a=3.276 b=3.276 c=9.027 alpha=79.55 beta=79.55 gamma=60.00
Fractional coordinates of all 4 atoms:
Nb 0.500 0.500 0.500
S 0.893 0.893 0.320
S 0.107 0.107 0.680
In 0.000 0.000 0.000

## Properties
**Formation energy from raw total energies**: -0.83 eV per atom
**ρ**: 5.50 g/cm3


Entry 3:
An optimized crystal structure of NbInS2. Source: the Alexandria database, functional GGA-PBEsol.

Unit cell a=3.283 b=3.283 c=8.630 alpha=90.00 beta=90.00 gamma=120.00
Fractional coordinates of all 4 atoms:
Nb 0.000 0.000 0.500
S 0.333 0.667 0.318
S 0.333 0.667 0.682
In 0.333 0.667 0.000

## Properties
**Formation energy from raw total energies**: -0.94 eV per atom
**ρ**: 5.61 g/cm3


> Which formula does entry 3 have?

NbInS2